DFT (PBE-GGA) results for AsRu3I after structural relaxation.

E_form (uncorrected), meV/atom: 1860
Space-group type: Pm-3m, No. 221
Magnetic moment, μB/cell: 2.72
Raw total energy, eV/atom: -4.95
Offset from the most stable computed form, meV/atom: 748.1

abc: 4.824 4.824 4.824
angles: 90.00 90.00 90.00
Element x y z (fractional)
As: 0.000 0.000 0.000
Ru: 0.000 0.500 0.500
Ru: 0.500 0.000 0.500
Ru: 0.500 0.500 0.000
I: 0.500 0.500 0.500